(1)
DFT (PBE-GGA) results for V2Zn2Ni3 after structural relaxation.

Results
volume = 12.48 Å³/atom
symmetry = Cmmm
ΔE_f = -19 meV per atom
uncorrected energy = -5.4659 eV per atom

Unit cell a=3.810 b=2.522 c=9.295 alpha=90.00 beta=78.18 gamma=90.00
Fractional coordinates of all 7 atoms:
V 0.710 0.500 0.579
V 0.290 0.500 0.421
Zn 0.431 0.500 0.138
Zn 0.569 0.500 0.862
Ni 0.149 0.000 0.703
Ni 0.000 0.000 0.000
Ni 0.851 0.000 0.297

***

(2)
DFT (PBE-GGA) results for V2ZnNi after structural relaxation.

Results
volume = 13.83 Å³/atom
symmetry = I-42d
ΔE_f = 333 meV per atom
uncorrected energy = -5.9900 eV per atom

Unit cell a=6.811 b=6.811 c=5.374 alpha=50.68 beta=50.68 gamma=90.00
Fractional coordinates of all 8 atoms:
Zn 0.750 0.250 0.500
Zn 0.000 0.000 0.000
Ni 0.500 0.500 0.000
Ni 0.250 0.750 0.500
V 0.375 0.404 0.750
V 0.875 0.846 0.750
V 0.154 0.625 0.250
V 0.596 0.125 0.250

***

(3)
DFT (PBE-GGA) results for VZn2Ni5 after structural relaxation.

Results
volume = 11.66 Å³/atom
symmetry = I4/mmm
ΔE_f = -243 meV per atom
uncorrected energy = -5.3150 eV per atom

Unit cell a=3.644 b=3.644 c=7.484 alpha=104.09 beta=104.09 gamma=90.00
Fractional coordinates of all 8 atoms:
Ni 0.380 0.880 0.759
Ni 0.120 0.620 0.241
Ni 0.500 0.500 0.000
Ni 0.620 0.120 0.241
Ni 0.880 0.380 0.759
Zn 0.747 0.747 0.495
Zn 0.253 0.253 0.505
V 0.000 0.000 0.000

***

(4)
DFT (PBE-GGA) results for V3ZnNi12 after structural relaxation.

Results
volume = 11.29 Å³/atom
symmetry = P4/mmm
ΔE_f = -209 meV per atom
uncorrected energy = -6.3343 eV per atom

Unit cell a=3.561 b=3.561 c=14.255 alpha=90.00 beta=90.00 gamma=90.00
Fractional coordinates of all 16 atoms:
Ni 0.500 0.000 0.625
Ni 0.000 0.500 0.129
Ni 0.000 0.500 0.375
Ni 0.500 0.500 0.748
Ni 0.000 0.500 0.625
Ni 0.500 0.500 0.252
Ni 0.000 0.500 0.871
Ni 0.500 0.500 0.500
Ni 0.500 0.000 0.129
Ni 0.500 0.500 0.000
Ni 0.500 0.000 0.871
Ni 0.500 0.000 0.375
Zn 0.000 0.000 0.000
V 0.000 0.000 0.755
V 0.000 0.000 0.500
V 0.000 0.000 0.245

***

(5)
DFT (PBE-GGA) results for VZnNi3 after structural relaxation.

Results
volume = 12.19 Å³/atom
symmetry = C2/m
ΔE_f = -55 meV per atom
uncorrected energy = -5.6019 eV per atom

Unit cell a=4.447 b=4.705 c=6.502 alpha=111.21 beta=104.93 gamma=90.00
Fractional coordinates of all 10 atoms:
Ni 0.853 0.405 0.305
Ni 0.000 0.000 0.000
Ni 0.147 0.100 0.695
Ni 0.500 0.000 0.000
Ni 0.853 0.900 0.305
Ni 0.147 0.595 0.695
V 0.402 0.201 0.401
V 0.598 0.799 0.599
Zn 0.705 0.435 0.870
Zn 0.295 0.565 0.130

***

(6)
DFT (PBE-GGA) results for VZnNi2 after structural relaxation.

Results
volume = 13.42 Å³/atom
symmetry = I-42d
ΔE_f = 323 meV per atom
uncorrected energy = -5.1655 eV per atom

Unit cell a=6.476 b=6.476 c=5.247 alpha=51.89 beta=51.89 gamma=90.00
Fractional coordinates of all 8 atoms:
Ni 0.139 0.625 0.250
Ni 0.875 0.861 0.750
Ni 0.375 0.389 0.750
Ni 0.611 0.125 0.250
V 0.250 0.750 0.500
V 0.500 0.500 0.000
Zn 0.750 0.250 0.500
Zn 0.000 0.000 0.000

***

(7)
DFT (PBE-GGA) results for VZnNi14 after structural relaxation.

Results
volume = 11.10 Å³/atom
symmetry = P4/mmm
ΔE_f = -75 meV per atom
uncorrected energy = -5.7834 eV per atom

Unit cell a=5.021 b=5.021 c=7.044 alpha=90.00 beta=90.00 gamma=90.00
Fractional coordinates of all 16 atoms:
Ni 0.375 0.875 0.000
Ni 0.627 0.123 0.752
Ni 0.123 0.123 0.248
Ni 0.375 0.875 0.500
Ni 0.375 0.375 0.000
Ni 0.875 0.375 0.000
Ni 0.627 0.627 0.752
Ni 0.123 0.627 0.248
Ni 0.875 0.375 0.500
Ni 0.123 0.123 0.752
Ni 0.123 0.627 0.752
Ni 0.627 0.123 0.248
Ni 0.875 0.875 0.000
Ni 0.627 0.627 0.248
Zn 0.375 0.375 0.500
V 0.875 0.875 0.500

***

(8)
DFT (PBE-GGA) results for V2ZnNi4 after structural relaxation.

Results
volume = 12.48 Å³/atom
symmetry = Cmce
ΔE_f = 70 meV per atom
uncorrected energy = -6.0205 eV per atom

Unit cell a=8.430 b=4.811 c=4.935 alpha=119.17 beta=90.00 gamma=90.00
Fractional coordinates of all 14 atoms:
V 0.000 0.670 0.339
V 0.500 0.170 0.339
V 0.000 0.330 0.661
V 0.500 0.830 0.661
Zn 0.000 0.000 0.000
Zn 0.500 0.500 0.000
Ni 0.779 0.592 0.000
Ni 0.221 0.408 0.000
Ni 0.721 0.092 0.000
Ni 0.750 0.552 0.500
Ni 0.250 0.448 0.500
Ni 0.279 0.908 0.000
Ni 0.750 0.052 0.500
Ni 0.250 0.948 0.500

***

(9)
DFT (PBE-GGA) results for VZn3Ni after structural relaxation.

Results
volume = 21.91 Å³/atom
symmetry = Pm-3m
ΔE_f = 1270 meV per atom
uncorrected energy = -2.4748 eV per atom

Unit cell a=4.785 b=4.785 c=4.785 alpha=90.00 beta=90.00 gamma=90.00
Fractional coordinates of all 5 atoms:
Zn 0.500 0.000 0.000
Zn 0.000 0.500 0.000
Zn 0.000 0.000 0.500
Ni 0.500 0.500 0.500
V 0.000 0.000 0.000

***

(10)
DFT (PBE-GGA) results for VZnNi2 after structural relaxation.

Results
volume = 12.16 Å³/atom
symmetry = P4/mmm
ΔE_f = -101 meV per atom
uncorrected energy = -5.5897 eV per atom

Unit cell a=2.634 b=4.298 c=4.298 alpha=90.00 beta=90.00 gamma=90.00
Fractional coordinates of all 4 atoms:
Zn 0.500 0.500 0.500
Ni 0.000 0.500 0.000
Ni 0.000 0.000 0.500
V 0.500 0.000 0.000

***

(11)
DFT (PBE-GGA) results for V2ZnNi4 after structural relaxation.

Results
volume = 15.48 Å³/atom
symmetry = I4/mmm
ΔE_f = 849 meV per atom
uncorrected energy = -5.2421 eV per atom

Unit cell a=4.307 b=4.307 c=6.586 alpha=70.91 beta=70.91 gamma=90.00
Fractional coordinates of all 7 atoms:
V 0.389 0.389 0.222
V 0.611 0.611 0.778
Ni 0.201 0.201 0.598
Ni 0.000 0.500 0.000
Ni 0.799 0.799 0.402
Ni 0.500 0.000 0.000
Zn 0.000 0.000 0.000

***

(12)
DFT (PBE-GGA) results for V2ZnNi9 after structural relaxation.

Results
volume = 11.28 Å³/atom
symmetry = P4/mmm
ΔE_f = -227 meV per atom
uncorrected energy = -6.1886 eV per atom

Unit cell a=3.560 b=3.560 c=10.683 alpha=90.00 beta=90.00 gamma=90.00
Fractional coordinates of all 12 atoms:
Ni 0.500 0.000 0.500
Ni 0.000 0.500 0.173
Ni 0.500 0.500 0.000
Ni 0.500 0.000 0.173
Ni 0.000 0.500 0.827
Ni 0.000 0.500 0.500
Ni 0.500 0.000 0.827
Ni 0.500 0.500 0.664
Ni 0.500 0.500 0.336
V 0.000 0.000 0.328
V 0.000 0.000 0.672
Zn 0.000 0.000 0.000